{
  "formula": "Nb2CuAuS4",
  "functional": "GGA-PBE",
  "state": "optimized geometry",
  "lattice": [[3.352, 0.000, 0.000], [-1.676, 2.903, 0.000], [0.000, 0.000, 15.247]],
  "species": ["Au", "Cu", "Nb", "Nb", "S", "S", "S", "S"],
  "fractional_positions": [[0.000, 0.000, 0.500], [0.000, 0.000, 0.000], [0.333, 0.667, 0.244], [0.667, 0.333, 0.756], [0.000, 0.000, 0.142], [0.000, 0.000, 0.346], [0.000, 0.000, 0.654], [0.000, 0.000, 0.858]],
  "e_tot_ha_per_atom": -0.230,
  "spacegroup": "P-3m1",
  "rho_g_cm3": 6.4
}

{
  "formula": "NbCuSbAu",
  "functional": "GGA-PBE",
  "state": "optimized geometry",
  "lattice": [[-2.059, -4.200, -0.027], [-4.174, -0.572, 2.034], [-3.803, -0.724, -2.627]],
  "species": ["Au", "Cu", "Nb", "Sb"],
  "fractional_positions": [[0.500, 0.500, 0.500], [0.750, 0.750, 0.750], [0.250, 0.250, 0.250], [0.000, 0.000, 0.000]],
  "e_above_lowest_polymorph_ev_per_atom": 0.000,
  "spacegroup": "F-43m",
  "rho_g_cm3": 10.9
}

{
  "formula": "NbCuSbAu",
  "functional": "GGA-PBE",
  "state": "optimized geometry",
  "lattice": [[1.204, -1.290, 4.383], [-2.925, 0.872, 3.607], [-2.265, -3.564, 2.119]],
  "species": ["Au", "Cu", "Nb", "Sb"],
  "fractional_positions": [[0.250, 0.250, 0.250], [0.750, 0.750, 0.750], [0.500, 0.500, 0.500], [0.000, 0.000, 0.000]],
  "e_above_lowest_polymorph_ev_per_atom": 0.216,
  "spacegroup": "F-43m",
  "rho_g_cm3": 10.6
}

{
  "formula": "Nd4CuAu3",
  "functional": "GGA-PBE",
  "state": "optimized geometry",
  "lattice": [[-1.975, 3.278, -4.333], [3.361, -1.779, -2.878], [-4.635, -5.513, -2.005]],
  "species": ["Au", "Au", "Au", "Cu", "Nd", "Nd", "Nd", "Nd"],
  "fractional_positions": [[0.849, 0.000, 0.041], [0.366, 0.500, 0.464], [0.150, 0.500, 0.960], [0.636, 0.000, 0.536], [0.357, 0.000, 0.187], [0.858, 0.500, 0.317], [0.140, 0.000, 0.682], [0.645, 0.500, 0.813]],
  "formation_energy_ev_per_atom": -0.65,
  "spacegroup": "Pm",
  "rho_g_cm3": 9.9
}

{
  "formula": "Nd2CuAu",
  "functional": "GGA-PBE",
  "state": "optimized geometry",
  "lattice": [[-3.187, 0.559, -3.399], [3.562, -2.503, -3.752], [-2.936, -6.663, 1.657]],
  "species": ["Au", "Au", "Cu", "Cu", "Nd", "Nd", "Nd", "Nd"],
  "fractional_positions": [[0.000, 0.385, 0.465], [0.000, 0.615, 0.965], [0.500, 0.887, 0.037], [0.500, 0.113, 0.537], [0.500, 0.387, 0.183], [0.000, 0.892, 0.315], [0.500, 0.613, 0.683], [0.000, 0.108, 0.815]],
  "formation_energy_ev_per_atom": -0.50,
  "spacegroup": "Pmc2_1",
  "rho_g_cm3": 9.1
}

{
  "formula": "Nd4Cu3Au",
  "functional": "GGA-PBE",
  "state": "optimized geometry",
  "lattice": [[-0.626, -4.450, 3.533], [4.454, -1.113, -0.612], [1.863, 4.308, 5.723]],
  "species": ["Au", "Cu", "Cu", "Cu", "Nd", "Nd", "Nd", "Nd"],
  "fractional_positions": [[0.366, 0.500, 0.465], [0.877, 0.000, 0.034], [0.634, 0.000, 0.537], [0.123, 0.500, 0.968], [0.366, 0.000, 0.176], [0.865, 0.500, 0.313], [0.132, 0.000, 0.686], [0.637, 0.500, 0.822]],
  "formation_energy_ev_per_atom": -0.34,
  "spacegroup": "Pm",
  "rho_g_cm3": 8.2
}

{
  "formula": "Nd2CuAu",
  "functional": "GGA-PBE",
  "state": "optimized geometry",
  "lattice": [[5.755, 0.000, 0.000], [0.000, 4.730, 0.000], [-0.066, 0.000, 7.406]],
  "species": ["Au", "Au", "Cu", "Cu", "Nd", "Nd", "Nd", "Nd"],
  "fractional_positions": [[0.849, 0.250, 0.040], [0.151, 0.750, 0.960], [0.371, 0.750, 0.465], [0.629, 0.250, 0.535], [0.357, 0.250, 0.191], [0.855, 0.750, 0.322], [0.145, 0.250, 0.678], [0.643, 0.750, 0.809]],
  "formation_energy_ev_per_atom": -0.49,
  "spacegroup": "P2_1/m",
  "rho_g_cm3": 9.0
}

{
  "formula": "PrNd2Cu2Si4Au2",
  "functional": "GGA-PBE",
  "state": "optimized geometry",
  "lattice": [[-10.412, 5.517, 4.542], [-9.639, 8.122, -0.778], [8.340, -8.958, -3.110]],
  "species": ["Au", "Au", "Cu", "Cu", "Nd", "Nd", "Pr", "Si", "Si", "Si", "Si"],
  "fractional_positions": [[0.250, 0.250, 0.000], [0.750, 0.750, 0.000], [0.593, 0.093, 0.500], [0.407, 0.907, 0.500], [0.855, 0.355, 0.500], [0.145, 0.645, 0.500], [0.000, 0.000, 0.000], [0.451, 0.451, 0.000], [0.549, 0.549, 0.000], [0.687, 0.187, 0.500], [0.313, 0.813, 0.500]],
  "e_tot_ha_per_atom": -0.191,
  "spacegroup": "Immm",
  "rho_g_cm3": 8.1
}

{
  "formula": "NdCuSi2Au",
  "functional": "GGA-PBE",
  "state": "optimized geometry",
  "lattice": [[-2.089, 2.089, 5.129], [2.089, -2.089, 5.129], [2.089, 2.089, -5.129]],
  "species": ["Au", "Cu", "Nd", "Si", "Si"],
  "fractional_positions": [[0.750, 0.250, 0.500], [0.250, 0.750, 0.500], [0.000, 0.000, 0.000], [0.384, 0.384, 0.000], [0.616, 0.616, 0.000]],
  "e_tot_ha_per_atom": -0.189,
  "spacegroup": "I-4m2",
  "rho_g_cm3": 8.6
}

{
  "formula": "Nd3Cu2Si4Au2",
  "functional": "GGA-PBE",
  "state": "optimized geometry",
  "lattice": [[-2.088, 2.124, 12.254], [2.088, -2.124, 12.254], [2.088, 2.124, -12.254]],
  "species": ["Au", "Au", "Cu", "Cu", "Nd", "Nd", "Nd", "Si", "Si", "Si", "Si"],
  "fractional_positions": [[0.250, 0.250, 0.000], [0.750, 0.750, 0.000], [0.593, 0.093, 0.500], [0.407, 0.907, 0.500], [0.000, 0.000, 0.000], [0.855, 0.355, 0.500], [0.145, 0.645, 0.500], [0.451, 0.451, 0.000], [0.549, 0.549, 0.000], [0.687, 0.187, 0.500], [0.313, 0.813, 0.500]],
  "e_tot_ha_per_atom": -0.191,
  "spacegroup": "Immm",
  "rho_g_cm3": 8.1
}

{
  "formula": "Cu2NiAu",
  "functional": "GGA-PBE",
  "state": "optimized geometry",
  "lattice": [[2.106, 1.216, 3.438], [-2.106, 1.216, 3.438], [0.000, -2.431, 3.438]],
  "species": ["Au", "Cu", "Cu", "Ni"],
  "fractional_positions": [[0.250, 0.250, 0.250], [0.500, 0.500, 0.500], [0.750, 0.750, 0.750], [0.000, 0.000, 0.000]],
  "formation_energy_ev_per_atom": 0.05,
  "spacegroup": "F-43m",
  "rho_g_cm3": 12.0
}

{
  "formula": "CuNiPbAu",
  "functional": "GGA-PBE",
  "state": "optimized geometry",
  "lattice": [[0.000, 3.210, 3.210], [3.210, 0.000, 3.210], [3.210, 3.210, 0.000]],
  "species": ["Au", "Cu", "Ni", "Pb"],
  "fractional_positions": [[0.500, 0.500, 0.500], [0.750, 0.750, 0.750], [0.250, 0.250, 0.250], [0.000, 0.000, 0.000]],
  "e_above_lowest_polymorph_ev_per_atom": 0.000,
  "spacegroup": "F-43m",
  "rho_g_cm3": 13.2
}